Compound: Mg2Cl
Source: Alexandria via LeMat-Bulk
Functional: PBE-GGA
Structure: optimized geometry

Properties
**Formation energy (no corrections)**: -0.23 eV/atom
**Theoretical density**: 1.7 Mg/m³
**Crystal system**: cubic
**VASP energy**: -1.90 eV per atom
**Offset from the most stable computed form**: 0.4368 eV/atom

Lattice parameters (Å, degrees): 6.9060 6.9060 6.9060 90.00 90.00 90.00
Space group Pa-3 (No. 205)
One atom of each set of equivalent atoms:
Mg  0.1209  0.1209  0.1209 [8 per cell]
Cl  0.0000  0.0000  0.5000 [4 per cell]